# 1
First-principles (GGA-PBE) data for TbTh after structural relaxation, as listed in Alexandria via LeMat-Bulk.

Unit cell a=3.5849 b=3.5849 c=10.0418 alpha=90.00 beta=90.00 gamma=90.00
Space group P4/nmm (No. 129, origin choice 2)
Unique sites:
Tb  0.2500  0.2500  0.1301 x2
Th  0.2500  0.2500  0.6219 x2

As for the crystal system: tetragonal. The value obtained for the total magnetic moment is 0.00 Bohr magnetons per cell. The calculation puts the energy above the most stable polymorph in this dataset at 19 meV/atom. Its density of states at the Fermi level is 7.0 states/eV/cell. Its formation energy is 0.1 eV/f.u.

# 2
First-principles (GGA-PBE) data for ScAsP2 after structural relaxation, as listed in Alexandria via LeMat-Bulk.

Unit cell a=3.6258 b=3.7017 c=5.3118 alpha=90.00 beta=90.00 gamma=90.00
Space group Pmmm (No. 47)
Unique sites:
Sc  0.0000  0.0000  0.0000 x1
As  0.0000  0.5000  0.5000 x1
P  0.5000  0.0000  0.5000 x1
P  0.5000  0.5000  0.0000 x1

As for the crystal system: orthorhombic. The value obtained for the total magnetic moment is 0.00 Bohr magnetons per cell. Its density of states at the Fermi level is 1.1 states/eV/cell. Its formation energy is -1.2 eV/f.u.

Q: Which value of total magnetic moment does entry 2 give?
A: 0.00 Bohr magnetons per cell